# PBE ReHgTe2N, optimized geometry
# magnetization	0.0	μB/cell
# raw total energy	-5.153	eV/atom
# ρ	9572	kg/m³
data_ReHgTe2N
_chemical_formula_sum 'Re1 Hg1 Te2 N1'
_symmetry_space_group_name_H-M 'P 4/m m m'
_symmetry_Int_Tables_number 123
_symmetry_space_group_name_Hall '-P 4 2'
_cell_length_a 5.509
_cell_length_b 5.509
_cell_length_c 3.750
_cell_angle_alpha 90.00
_cell_angle_beta 90.00
_cell_angle_gamma 90.00
loop_
_atom_site_label
_atom_site_fract_x
_atom_site_fract_y
_atom_site_fract_z
Re1 0.000 0.000 0.000
Hg1 0.500 0.500 0.500
Te1 0.000 0.500 0.000
N1 0.000 0.000 0.500



# PBE ReHgTe2N, optimized geometry
# magnetization	5.6	μB/cell
# raw total energy	-3.419	eV/atom
# ρ	8341	kg/m³
data_ReHgTe2N
_chemical_formula_sum 'Re1 Hg1 Te2 N1'
_symmetry_space_group_name_H-M 'P 4/m m m'
_symmetry_Int_Tables_number 123
_symmetry_space_group_name_Hall '-P 4 2'
_cell_length_a 5.683
_cell_length_b 5.683
_cell_length_c 4.044
_cell_angle_alpha 90.00
_cell_angle_beta 90.00
_cell_angle_gamma 90.00
loop_
_atom_site_label
_atom_site_fract_x
_atom_site_fract_y
_atom_site_fract_z
Re1 0.000 0.000 0.000
Hg1 0.500 0.500 0.500
Te1 0.000 0.500 0.500
N1 0.500 0.500 0.000



# PBE ReHgTeN2, optimized geometry
# magnetization	0.0	μB/cell
# raw total energy	-5.995	eV/atom
# ρ	9881	kg/m³
data_ReHgTeN2
_chemical_formula_sum 'Re1 Hg1 Te1 N2'
_symmetry_space_group_name_H-M 'P 4/m m m'
_symmetry_Int_Tables_number 123
_symmetry_space_group_name_Hall '-P 4 2'
_cell_length_a 3.940
_cell_length_b 3.940
_cell_length_c 5.873
_cell_angle_alpha 90.00
_cell_angle_beta 90.00
_cell_angle_gamma 90.00
loop_
_atom_site_label
_atom_site_fract_x
_atom_site_fract_y
_atom_site_fract_z
Re1 0.000 0.000 0.000
Hg1 0.500 0.500 0.500
Te1 0.000 0.000 0.500
N1 0.000 0.500 0.000